4
Lattice="2.5904 0.0000 0.0000 -1.2952 4.2294 -0.0052 0.0000 -0.7819 4.3438" Properties=species:S:1:pos:R:3 comment="Fe3Ru (PBE-GGA, optimized geometry)" space_group="C2/m, No. 12" mass_density_g_cm3=9.374 formation_energy_ev_per_fu=0.7 pbc="T T T"
Fe 1.2952 3.4446 4.3304
Fe 1.2952 -0.3880 2.1800
Fe 0.0000 1.5283 3.2552
Ru 1.2952 1.9192 1.0833

---

8
Lattice="7.4835 0.0000 0.0000 0.0000 7.4835 0.0000 0.0000 0.0000 2.5143" Properties=species:S:1:pos:R:3 comment="FeRu (PBE-GGA, optimized geometry)" space_group="P4_2/mnm, No. 136" mass_density_g_cm3=7.402 formation_energy_ev_per_fu=2.1 pbc="T T T"
Fe 2.4938 4.9897 0.0000
Fe 6.2356 6.2356 1.2571
Fe 1.2479 1.2479 1.2571
Fe 4.9897 2.4938 0.0000
Ru 2.7144 2.7144 0.0000
Ru 6.4562 1.0273 1.2571
Ru 1.0273 6.4562 1.2571
Ru 4.7691 4.7691 0.0000

---

4
Lattice="-0.8774 -2.0661 -1.2171 3.7448 -0.8263 -1.2970 0.7215 -2.4546 3.6469" Properties=species:S:1:pos:R:3 comment="Fe3Ru (PBE-GGA, optimized geometry)" space_group="Pmm2, No. 25" mass_density_g_cm3=9.686 formation_energy_ev_per_fu=0.4 pbc="T T T"
Fe 0.7167 -2.4384 3.6227
Fe -0.0678 -2.2947 1.2659
Fe 2.0314 -3.4794 1.7637
Ru 2.1112 -1.2256 0.5585

---

16
Lattice="-0.9519 1.7414 4.0036 2.2146 -7.1541 3.6382 4.7965 1.6908 0.4050" Properties=species:S:1:pos:R:3 comment="Fe3Ru (PBE-GGA, optimized geometry)" space_group="Pnma, No. 62" mass_density_g_cm3=9.399 formation_energy_ev_per_fu=0.6 pbc="T T T"
Ru 4.5342 -4.1883 3.2948
Ru 0.7035 -0.8618 2.6407
Ru 5.3558 -2.8602 5.4061
Ru 1.5251 0.4663 4.7521
Fe 3.8692 1.2910 4.9470
Fe 3.7451 -6.0653 4.8263
Fe 2.6427 -2.5042 3.0154
Fe 5.0555 -1.6785 3.1279
Fe 3.9531 1.8826 1.3169
Fe 2.9019 -3.7236 5.2020
Fe 3.1573 0.0017 2.8449
Fe 2.1061 -5.6046 6.7300
Fe 1.0038 -2.0435 4.9190
Fe 3.4166 -1.2177 5.0315
Fe 2.3142 2.3433 3.2205
Fe 2.1901 -5.0130 3.0999

---

16
Lattice="7.1360 -0.0006 0.0000 3.5692 6.1796 0.0000 0.0000 0.0000 4.8591" Properties=species:S:1:pos:R:3 comment="Fe3Ru5 (PBE-GGA, optimized geometry)" space_group="P6_3/mcm, No. 193" mass_density_g_cm3=10.429 formation_energy_ev_per_fu=2.9 pbc="T T T"
Ru 6.3195 1.4139 1.2148
Ru 4.3856 4.7650 3.6443
Ru 5.2026 6.1793 1.2148
Ru 7.9530 1.4141 3.6443
Ru 7.1367 4.1193 0.0000
Ru 7.1367 4.1193 2.4295
Ru 3.5685 2.0597 0.0000
Ru 3.5685 2.0597 2.4295
Ru 5.5025 -0.0003 3.6443
Ru 2.7522 4.7649 1.2148
Fe 5.6866 2.5108 3.6443
Fe 5.0185 3.6682 1.2148
Fe 2.8995 -0.0002 3.6443
Fe 1.4502 2.5108 1.2148
Fe 7.8056 6.1792 1.2148
Fe 2.1190 3.6688 3.6443

---

2
Lattice="-0.8148 -0.7301 -2.4025 2.1989 -1.0439 1.0219 -2.1922 -2.9981 1.6545" Properties=species:S:1:pos:R:3 comment="FeRu (PBE-GGA, optimized geometry)" space_group="P-6m2, No. 187" mass_density_g_cm3=10.618 formation_energy_ev_per_fu=0.3 pbc="T T T"
Ru -1.4544 -3.0833 -0.0202
Fe 0.6463 -1.6888 0.2940

---

5
Lattice="4.0211 0.0000 0.0000 0.0000 4.0211 0.0000 0.0000 0.0000 4.0211" Properties=species:S:1:pos:R:3 comment="Fe3RuS (PBE-GGA, optimized geometry)" space_group="Pm-3m, No. 221" mass_density_g_cm3=7.679 polymorph_energy_ev_per_atom=0.000 pbc="T T T"
Ru 2.0106 2.0106 2.0106
S 0.0000 0.0000 0.0000
Fe 0.0000 2.0106 0.0000
Fe 0.0000 0.0000 2.0106
Fe 2.0106 0.0000 0.0000

---

6
Lattice="3.5617 0.0000 0.0000 1.7808 3.0845 0.0000 1.7808 1.0282 7.1388" Properties=species:S:1:pos:R:3 comment="FeRuS (PBE-GGA, optimized geometry)" space_group="R-3m, No. 166" mass_density_g_cm3=8.003 total_energy_ev_per_atom=-7.291 pbc="T T T"
Fe 1.7808 1.0282 4.3430
Fe 5.3425 3.0845 2.7958
Ru 3.5617 2.0563 1.0484
Ru 3.5617 2.0563 6.0904
S 1.7808 1.0282 2.1209
S 5.3425 3.0845 5.0179

---

8
Lattice="5.1961 0.0000 0.0000 0.0000 5.1961 0.0000 2.5981 2.5981 5.1774" Properties=species:S:1:pos:R:3 comment="FeRu2S (PBE-GGA, optimized geometry)" space_group="I-42d, No. 122" mass_density_g_cm3=6.891 total_energy_ev_per_atom=-7.255 pbc="T T T"
Ru 3.8902 1.2990 1.2943
Ru 1.3059 3.8971 1.2943
Ru 3.8971 3.9040 3.8830
Ru 6.4952 6.4883 3.8830
S 2.5981 2.5981 0.0000
S 2.5981 5.1961 2.5887
Fe 0.0000 0.0000 0.0000
Fe 5.1961 2.5981 2.5887

---

8
Lattice="-4.5691 -2.0488 -0.7890 2.0529 -3.3413 -3.2122 -0.4775 -5.9197 1.8524" Properties=species:S:1:pos:R:3 comment="FeRuS2 (PBE-GGA, optimized geometry)" space_group="I-42d, No. 122" mass_density_g_cm3=5.618 polymorph_energy_ev_per_atom=0.174 pbc="T T T"
Ru 0.0000 0.0000 0.0000
Ru -3.1524 -5.3317 -0.4686
S -2.6256 -3.1364 -0.4155
S 0.4997 -3.8659 -1.6592
S -1.2600 -6.5289 -0.1764
S -2.6016 -9.0882 -2.0465
Fe -1.2581 -2.6950 -2.0006
Fe 0.1586 -5.9780 -1.6802

---

5
Lattice="-3.5434 -0.6142 -2.4013 -1.5336 -2.7480 2.9658 -1.9473 3.2819 2.0339" Properties=species:S:1:pos:R:3 comment="FeRuS3 (PBE-GGA, optimized geometry)" space_group="Pm-3m, No. 221" mass_density_g_cm3=5.198 total_energy_ev_per_atom=-5.228 pbc="T T T"
Ru -3.5121 -0.0402 1.2992
S -0.7668 -1.3740 1.4829
S -0.9736 1.6409 1.0170
S -1.7717 -0.3071 -1.2007
Fe 0.0000 0.0000 0.0000

---

4
Lattice="3.7447 0.0000 -0.0297 0.0000 3.7447 0.0000 0.0318 0.0000 5.5548" Properties=species:S:1:pos:R:3 comment="FeRuS2 (PBE-GGA, optimized geometry)" space_group="Pm, No. 6" mass_density_g_cm3=4.712 polymorph_energy_ev_per_atom=0.000 pbc="T T T"
Fe 2.3604 0.0000 3.4530
Ru 0.4879 1.8723 3.4682
S 0.4979 0.0000 4.7198
S 2.3504 1.8723 2.2016

---

5
Lattice="4.2720 0.0000 0.0000 0.0000 4.2720 0.0000 0.0000 0.0000 4.2720" Properties=species:S:1:pos:R:3 comment="FeRu3S (PBE-GGA, optimized geometry)" space_group="Pm-3m, No. 221" mass_density_g_cm3=8.331 polymorph_energy_ev_per_atom=0.000 pbc="T T T"
Ru 0.0000 2.1360 0.0000
Ru 0.0000 0.0000 2.1360
Ru 2.1360 0.0000 0.0000
S 0.0000 0.0000 0.0000
Fe 2.1360 2.1360 2.1360

---

4
Lattice="1.7387 0.0000 7.2882 -0.8694 1.5058 7.2882 -0.8694 -1.5058 7.2882" Properties=species:S:1:pos:R:3 comment="FeRuS2 (PBE-GGA, optimized geometry)" space_group="R-3m, No. 166" mass_density_g_cm3=6.412 polymorph_energy_ev_per_atom=0.343 pbc="T T T"
Ru 0.0000 0.0000 0.0000
S 0.0000 0.0000 19.6366
S 0.0000 0.0000 2.2278
Fe 0.0000 0.0000 10.9322

---

5
Lattice="-4.1381 1.8091 -0.8811 0.4566 -1.1182 -4.4401 -1.9598 -4.0804 0.8261" Properties=species:S:1:pos:R:3 comment="Fe3RuS (PBE-GGA, optimized geometry)" space_group="Pm-3m, No. 221" mass_density_g_cm3=5.125 polymorph_energy_ev_per_atom=0.735 pbc="T T T"
Ru 0.0000 0.0000 0.0000
S -2.8206 -1.6948 -2.2476
Fe 0.2283 -0.5591 -2.2200
Fe -0.9799 -2.0402 0.4130
Fe -2.0690 0.9045 -0.4406

---

5
Lattice="4.4048 0.0000 0.0000 0.0000 4.4048 0.0000 0.0000 0.0000 4.4048" Properties=species:S:1:pos:R:3 comment="FeRu3S (PBE-GGA, optimized geometry)" space_group="Pm-3m, No. 221" mass_density_g_cm3=7.599 polymorph_energy_ev_per_atom=0.681 pbc="T T T"
Ru 0.0000 2.2024 0.0000
Ru 0.0000 0.0000 2.2024
Ru 2.2024 0.0000 0.0000
S 2.2024 2.2024 2.2024
Fe 0.0000 0.0000 0.0000

---

4
Lattice="0.0000 2.9661 2.9661 2.9661 0.0000 2.9661 2.9661 2.9661 0.0000" Properties=species:S:1:pos:R:3 comment="FeRuS2 (PBE-GGA, optimized geometry)" space_group="Fm-3m, No. 225" mass_density_g_cm3=7.033 polymorph_energy_ev_per_atom=0.510 pbc="T T T"
Ru 2.9661 2.9661 2.9661
S 1.4831 1.4831 1.4831
S 4.4492 4.4492 4.4492
Fe 0.0000 0.0000 0.0000

---

4
Lattice="1.8550 0.0000 7.3130 -0.9275 1.6065 7.3130 -0.9275 -1.6065 7.3130" Properties=species:S:1:pos:R:3 comment="FeRuS2 (PBE-GGA, optimized geometry)" space_group="R-3m, No. 166" mass_density_g_cm3=5.614 polymorph_energy_ev_per_atom=0.488 pbc="T T T"
Ru 0.0000 0.0000 10.9695
S 0.0000 0.0000 19.7803
S 0.0000 0.0000 2.1587
Fe 0.0000 0.0000 0.0000

---

4
Lattice="-3.3684 -1.6029 -2.7122 2.9860 -0.3579 -3.4969 0.7035 -3.0177 0.9096" Properties=species:S:1:pos:R:3 comment="FeSb2Ru (PBE-GGA, optimized geometry)" space_group="P4/mmm, No. 123" mass_density_g_cm3=9.680 polymorph_energy_ev_per_atom=0.114 pbc="T T T"
Fe -1.3324 -2.3103 -0.9013
Ru 1.8448 -1.6878 -1.2936
Sb 0.0000 0.0000 0.0000
Sb -0.1912 -0.9804 -3.1045

---

4
Lattice="3.2149 0.0000 0.0000 0.0000 3.2149 0.0000 0.0000 0.0000 7.7808" Properties=species:S:1:pos:R:3 comment="FeSb2Ru (PBE-GGA, optimized geometry)" space_group="P4mm, No. 99" mass_density_g_cm3=8.268 polymorph_energy_ev_per_atom=0.013 pbc="T T T"
Fe 0.0000 0.0000 4.1825
Ru 1.6075 1.6075 5.5239
Sb 0.0000 0.0000 7.1516
Sb 1.6075 1.6075 2.5940